# Tm4NpRh15

An optimized crystal structure of Tm4NpRh15 (PBE, the Alexandria database).

Values from the calculation:
space group: P4/mmm (123)
crystal system: tetragonal
energy of formation: -0.550 eV/atom

Cell lengths 4.0108, 4.0108, 20.0923 Å; angles 90.00, 90.00, 90.00 degrees
Closest atoms and distances in Å follow each position.
Fractional positions:
Tm (0.0000, 0.0000, 0.1996)  12 Rh 2.84-2.91
Tm (0.0000, 0.0000, 0.3998)  12 Rh 2.84
Tm (0.0000, 0.0000, 0.6002)  12 Rh 2.84
Tm (0.0000, 0.0000, 0.8004)  12 Rh 2.84-2.91
Np (0.0000, 0.0000, 0.0000)  12 Rh 2.77-2.84
Rh (0.5000, 0.5000, 0.0000)  8 Rh 2.77, 4 Np 2.84
Rh (0.5000, 0.5000, 0.2000)  8 Rh 2.83-2.91, 4 Tm 2.84
Rh (0.5000, 0.5000, 0.3997)  4 Tm 2.84, 8 Rh 2.84
Rh (0.5000, 0.5000, 0.6003)  4 Tm 2.84, 8 Rh 2.84
Rh (0.5000, 0.5000, 0.8000)  8 Rh 2.83-2.91, 4 Tm 2.84
Rh (0.5000, 0.0000, 0.0948)  8 Rh 2.77-2.91, 2 Np 2.77, 2 Tm 2.91
Rh (0.5000, 0.0000, 0.2997)  8 Rh 2.83-2.84, 4 Tm 2.84
Rh (0.5000, 0.0000, 0.5000)  8 Rh 2.84, 4 Tm 2.84
Rh (0.5000, 0.0000, 0.7003)  8 Rh 2.83-2.84, 4 Tm 2.84
Rh (0.5000, 0.0000, 0.9052)  2 Np 2.77, 8 Rh 2.77-2.91, 2 Tm 2.91
Rh (0.0000, 0.5000, 0.0948)  8 Rh 2.77-2.91, 2 Np 2.77, 2 Tm 2.91
Rh (0.0000, 0.5000, 0.2997)  8 Rh 2.83-2.84, 4 Tm 2.84
Rh (0.0000, 0.5000, 0.5000)  8 Rh 2.84, 4 Tm 2.84
Rh (0.0000, 0.5000, 0.7003)  8 Rh 2.83-2.84, 4 Tm 2.84
Rh (0.0000, 0.5000, 0.9052)  2 Np 2.77, 8 Rh 2.77-2.91, 2 Tm 2.91


# PmErHgC

An optimized crystal structure of PmErHgC (PBE, the Alexandria database).

Values from the calculation:
space group: R3m (160)
crystal system: trigonal
energy of formation: -0.337 eV/atom

Cell lengths 3.6130, 3.6118, 8.2983 Å; angles 90.00, 102.62, 119.99 degrees
Closest atoms and distances in Å follow each position.
Fractional positions:
Pm (0.5215, 0.1587, 0.6959)  3 C 2.54
Er (0.0836, 0.9397, 0.0389)  3 C 2.46
Hg (0.9635, 0.3798, 0.3576)  3 Er 3.30, 3 Pm 3.42-3.43, 6 Hg 3.61
C (0.3093, 0.5526, 0.8773)  3 Er 2.46, 3 Pm 2.54


# Ba6Au2BrN

An optimized crystal structure of Ba6Au2BrN (PBE, the Alexandria database).

Values from the calculation:
space group: P2_1/c (14)
crystal system: monoclinic
raw formation energy: -722 meV/atom

Cell lengths 7.7762, 8.5862, 11.4804 Å; angles 90.00, 89.20, 90.00 degrees
Closest atoms and distances in Å follow each position.
Fractional positions:
Ba (0.2937, 0.6636, 0.0618)  1 N 2.78
Ba (0.7937, 0.8364, 0.5618)  1 N 2.78
Ba (0.7063, 0.3364, 0.9382)  1 N 2.78
Ba (0.2063, 0.1636, 0.4382)  1 N 2.78
Ba (0.3459, 0.7133, 0.4335)  1 N 2.85
Ba (0.8459, 0.7867, 0.9335)  1 N 2.85
Ba (0.6541, 0.2867, 0.5665)  1 N 2.85
Ba (0.1541, 0.2133, 0.0665)  1 N 2.85
Ba (0.8702, 0.5430, 0.2260)  1 N 2.80
Ba (0.3702, 0.9570, 0.7260)  1 N 2.80
Ba (0.1298, 0.4570, 0.7740)  1 N 2.80
Ba (0.6298, 0.0430, 0.2740)  1 N 2.80
Au (0.0456, 0.8994, 0.2515)  6 Ba 3.36-3.54
Au (0.5456, 0.6006, 0.7515)  6 Ba 3.36-3.54
Au (0.9544, 0.1006, 0.7485)  6 Ba 3.36-3.54
Au (0.4544, 0.3994, 0.2485)  6 Ba 3.36-3.54
Br (0.5000, 0.0000, 0.0000)  6 Ba 3.33-3.37
Br (0.0000, 0.5000, 0.5000)  6 Ba 3.33-3.37
N (0.5000, 0.0000, 0.5000)  6 Ba 2.78-2.85
N (0.0000, 0.5000, 0.0000)  6 Ba 2.78-2.85